# 1
First-principles (GGA-PBE) data for TaCu2Ni after structural relaxation, as listed in Alexandria via LeMat-Bulk.

## Properties
Space group: Pmmm, No. 47
Energy relative to the elements, eV/atom: 0.121

Unit cell a=2.823 b=4.265 c=4.489 alpha=90.00 beta=90.00 gamma=90.00
Atoms (fractional coordinates):
Cu  0.000  0.000  0.000
Cu  0.500  0.500  0.000
Ni  0.500  0.000  0.500
Ta  0.000  0.500  0.500

# 2
First-principles (GGA-PBE) data for Ta2VCuNi after structural relaxation, as listed in Alexandria via LeMat-Bulk.

## Properties
Space group: P4/mmm, No. 123
Energy relative to the elements, eV/atom: 1.015

Unit cell a=4.601 b=4.268 c=4.601 alpha=90.00 beta=90.00 gamma=90.00
Last column: magnetic moment on the atom in μB.
Atoms (fractional coordinates):
Ni  0.000  0.000  0.000  0.00
V  0.000  0.500  0.000  0.73
Cu  0.500  0.500  0.500  0.00
Ta  0.000  0.000  0.500  -0.05
Ta  0.500  0.000  0.000  -0.10

# 3
First-principles (GGA-PBE) data for TaCu2NiW after structural relaxation, as listed in Alexandria via LeMat-Bulk.

## Properties
Space group: P4/mmm, No. 123
Energy relative to the elements, eV/atom: 1.979

Unit cell a=4.543 b=4.358 c=4.543 alpha=90.00 beta=90.00 gamma=90.00
Atoms (fractional coordinates):
Ni  0.000  0.500  0.000
Cu  0.000  0.000  0.500
Cu  0.500  0.000  0.000
W  0.500  0.500  0.500
Ta  0.000  0.000  0.000

# 4
First-principles (GGA-PBE) data for TaZnCuNi after structural relaxation, as listed in Alexandria via LeMat-Bulk.

## Properties
Space group: F-43m, No. 216
Energy relative to the elements, eV/atom: -0.107

Unit cell a=4.251 b=4.251 c=4.251 alpha=60.00 beta=60.00 gamma=60.00
Atoms (fractional coordinates):
Ni  0.750  0.750  0.750
Zn  0.500  0.500  0.500
Cu  0.250  0.250  0.250
Ta  0.000  0.000  0.000

# 5
First-principles (GGA-PBE) data for TaZn2CuNi after structural relaxation, as listed in Alexandria via LeMat-Bulk.

## Properties
Space group: P4/mmm, No. 123
Energy relative to the elements, eV/atom: 0.639

Unit cell a=4.421 b=4.549 c=4.421 alpha=90.00 beta=90.00 gamma=90.00
Atoms (fractional coordinates):
Ni  0.000  0.000  0.000
Zn  0.000  0.000  0.500
Zn  0.500  0.000  0.000
Cu  0.500  0.500  0.500
Ta  0.000  0.500  0.000

# 6
First-principles (GGA-PBE) data for Tb8Cu2Ni after structural relaxation, as listed in Alexandria via LeMat-Bulk.

## Properties
Space group: C2/m, No. 12
Energy relative to the lowest polymorph listed for this composition, meV/atom: 0
Energy relative to the elements, eV/atom: -0.123

Unit cell a=5.070 b=6.664 c=9.002 alpha=104.24 beta=106.36 gamma=90.00
Atoms (fractional coordinates):
Tb  0.411  0.556  0.821
Tb  0.664  0.976  0.329
Tb  0.799  0.670  0.598
Tb  0.968  0.213  0.936
Tb  0.201  0.330  0.402
Tb  0.336  0.024  0.671
Tb  0.589  0.444  0.179
Tb  0.032  0.787  0.064
Cu  0.813  0.266  0.625
Cu  0.187  0.734  0.375
Ni  0.500  0.000  0.000

# 7
First-principles (GGA-PBE) data for Tb12CuNi6 after structural relaxation, as listed in Alexandria via LeMat-Bulk.

## Properties
Space group: R-3, No. 148
Energy relative to the lowest polymorph listed for this composition, meV/atom: 136
Energy relative to the elements, eV/atom: -0.139

Unit cell a=8.043 b=8.043 c=8.043 alpha=99.78 beta=99.78 gamma=99.78
Atoms (fractional coordinates):
Tb  0.820  0.588  0.427
Tb  0.427  0.820  0.588
Tb  0.588  0.427  0.820
Tb  0.180  0.412  0.573
Tb  0.573  0.180  0.412
Tb  0.412  0.573  0.180
Tb  0.087  0.941  0.326
Tb  0.059  0.674  0.913
Tb  0.674  0.913  0.059
Tb  0.913  0.059  0.674
Tb  0.941  0.326  0.087
Tb  0.326  0.087  0.941
Cu  0.000  0.000  0.000
Ni  0.688  0.867  0.387
Ni  0.613  0.312  0.133
Ni  0.133  0.613  0.312
Ni  0.312  0.133  0.613
Ni  0.387  0.688  0.867
Ni  0.867  0.387  0.688

# 8
First-principles (GGA-PBE) data for TbCu2Ni5 after structural relaxation, as listed in Alexandria via LeMat-Bulk.

## Properties
Space group: Immm, No. 71
Energy relative to the elements, eV/atom: -0.011

Unit cell a=3.600 b=5.954 c=5.954 alpha=68.11 beta=72.40 gamma=72.40
Last column: magnetic moment on the atom in μB.
Atoms (fractional coordinates):
Tb  0.000  0.000  0.000  -0.05
Cu  0.745  0.755  0.755  0.03
Cu  0.255  0.245  0.245  0.03
Ni  0.000  0.500  0.500  0.35
Ni  0.635  0.548  0.182  0.24
Ni  0.365  0.452  0.818  0.24
Ni  0.365  0.818  0.452  0.24
Ni  0.635  0.182  0.548  0.24

Look up the energy relative to the elements of the third one.
1.979 eV/atom

The highest energy relative to the elements belongs to which entry?
TaCu2NiW

Look up the energy relative to the elements of the eighth one.
-0.011 eV/atom

Which value of energy relative to the elements does entry 3 give?
1.979 eV/atom